# NdHgSO

NdHgSO after structural relaxation (PBE, OQMD).

Results
- Distance to the lowest polymorph of the same formula: 89 meV per atom
- Magnetization: 0.00 μB/f.u.

Cell: 6.893 7.280 8.076 Å, 90.02 95.23 90.02°
Fractional positions:
S (0.070, 0.104, 0.714)
O (0.617, 0.883, 0.615)
Nd (0.799, 0.641, 0.533)
Nd (0.300, 0.859, 0.533)
S (0.431, 0.604, 0.285)
O (0.384, 0.117, 0.385)
Nd (0.201, 0.358, 0.467)
O (0.884, 0.383, 0.385)
Hg (0.476, 0.869, 0.107)
Nd (0.701, 0.141, 0.467)
Hg (0.523, 0.132, 0.893)
Hg (0.023, 0.368, 0.893)
O (0.117, 0.617, 0.615)
Hg (0.976, 0.631, 0.107)
S (0.570, 0.396, 0.714)
S (0.931, 0.896, 0.285)



# HfHg2Te

HfHg2Te after structural relaxation (PBE, OQMD).

Results
- Magnetization: 0.00 μB/f.u.
- Energy: -13.194 eV for the cell shown

Cell: 5.083 5.083 5.083 Å, 60.00 60.00 60.00°
Fractional positions:
Hg (0.250, 0.250, 0.250)
Hg (0.000, 0.000, 0.000)
Hf (0.500, 0.500, 0.500)
Te (0.750, 0.750, 0.750)



# Sc2ZnIr

Sc2ZnIr after structural relaxation (PBE, OQMD).

Results
- ΔE_f: -0.194 eV/atom
- Distance to the lowest polymorph of the same formula: 533 meV per atom
- Magnetization: 0.01 μB/f.u.

Cell: 4.718 4.718 7.880 Å, 90.00 90.00 120.00°
Fractional positions:
Sc (0.333, 0.667, 0.582)
Ir (0.667, 0.333, 0.750)
Sc (0.333, 0.667, 0.918)
Zn (0.000, 0.000, 0.000)
Zn (0.000, 0.000, 0.500)
Sc (0.667, 0.333, 0.418)
Ir (0.333, 0.667, 0.250)
Sc (0.667, 0.333, 0.082)



# LiAgSnSe3

LiAgSnSe3 after structural relaxation (PBE, OQMD).

Results
- Distance to the lowest polymorph of the same formula: 12 meV per atom

Cell: 6.781 6.781 10.926 Å, 90.00 90.00 145.81°
Fractional positions:
Se (0.353, 0.647, 0.019)
Se (0.948, 0.052, 0.750)
Li (0.673, 0.327, 0.250)
Ag (0.377, 0.623, 0.250)
Se (0.647, 0.353, 0.981)
Ag (0.623, 0.377, 0.750)
Sn (0.000, 0.000, 0.000)
Se (0.052, 0.948, 0.250)
Se (0.353, 0.647, 0.481)
Se (0.647, 0.353, 0.519)
Sn (0.000, 0.000, 0.500)
Li (0.327, 0.673, 0.750)



# GaTeAu

GaTeAu after structural relaxation (PBE, OQMD).

Results
- Energy: -9.672 eV for the cell shown

Cell: 4.775 4.775 4.775 Å, 60.00 60.00 60.00°
Fractional positions:
Te (0.750, 0.750, 0.750)
Ga (0.250, 0.250, 0.250)
Au (0.000, 0.000, 0.000)



# AlZn2Ni

AlZn2Ni after structural relaxation (PBE, OQMD).

Results
- Magnetization: 0.00 μB/f.u.
- Energy: -12.555 eV for the cell shown

Cell: 4.203 4.203 4.203 Å, 60.00 60.00 60.00°
Fractional positions:
Zn (0.000, 0.000, 0.000)
Al (0.500, 0.500, 0.500)
Ni (0.250, 0.250, 0.250)
Zn (0.750, 0.750, 0.750)



# ErCuAg4

ErCuAg4 after structural relaxation (PBE, OQMD).

Results
- ΔE_f: -0.042 eV/atom
- Magnetization: 0.00 μB/f.u.

Cell: 5.494 5.494 5.494 Å, 60.00 60.00 60.00°
Fractional positions:
Ag (0.375, 0.375, 0.874)
Cu (0.750, 0.750, 0.750)
Ag (0.874, 0.375, 0.375)
Ag (0.375, 0.375, 0.375)
Er (0.000, 0.000, 0.000)
Ag (0.375, 0.874, 0.375)



# RbGaCo

RbGaCo after structural relaxation (PBE, OQMD).

Results
- Distance to the lowest polymorph of the same formula: 144 meV per atom
- Magnetization: 1.01 μB/f.u.

Cell: 5.003 5.003 5.003 Å, 60.00 60.00 60.00°
Fractional positions:
Ga (0.000, 0.000, 0.000)
Rb (0.750, 0.750, 0.750)
Co (0.250, 0.250, 0.250)



# BeFeReGe

BeFeReGe after structural relaxation (PBE, OQMD).

Results
- Distance to the lowest polymorph of the same formula: 0 meV per atom
- Magnetization: 1.86 μB/f.u.

Cell: 4.095 4.095 4.095 Å, 60.00 60.00 60.00°
Fractional positions:
Fe (0.750, 0.750, 0.750)
Re (0.250, 0.250, 0.250)
Be (0.500, 0.500, 0.500)
Ge (0.000, 0.000, 0.000)



# LuNiBi

LuNiBi after structural relaxation (PBE, OQMD).

Results
- Magnetization: 0.00 μB/f.u.
- Energy: -42.460 eV for the cell shown

Cell: 8.164 8.164 3.482 Å, 90.00 90.00 120.00°
Fractional positions:
Ni (0.000, 0.661, 0.500)
Lu (0.705, 0.705, 0.000)
Lu (0.295, 0.000, 0.000)
Bi (0.000, 0.000, 0.500)
Bi (0.667, 0.333, 0.000)
Lu (0.000, 0.295, 0.000)
Ni (0.339, 0.339, 0.500)
Ni (0.661, 0.000, 0.500)
Bi (0.333, 0.667, 0.000)



# MgScZnSi

MgScZnSi after structural relaxation (PBE, OQMD).

Results
- Distance to the lowest polymorph of the same formula: 305 meV per atom
- Magnetization: 0.04 μB/f.u.

Cell: 4.672 4.672 4.672 Å, 60.00 60.00 60.00°
Fractional positions:
Zn (0.000, 0.000, 0.000)
Si (0.250, 0.250, 0.250)
Mg (0.500, 0.500, 0.500)
Sc (0.750, 0.750, 0.750)



# LiCuTcPb

LiCuTcPb after structural relaxation (PBE, OQMD).

Results
- Distance to the lowest polymorph of the same formula: 0 meV per atom
- Magnetization: 0.00 μB/f.u.

Cell: 4.495 4.495 4.495 Å, 60.00 60.00 60.00°
Fractional positions:
Pb (0.000, 0.000, 0.000)
Cu (0.750, 0.750, 0.750)
Li (0.500, 0.500, 0.500)
Tc (0.250, 0.250, 0.250)



# Dy4C2SeS

Dy4C2SeS after structural relaxation (PBE, OQMD).

Results
- Magnetization: 0.01 μB/f.u.
- Energy: -54.072 eV for the cell shown

Cell: 3.733 3.733 13.093 Å, 90.00 90.00 120.00°
Fractional positions:
S (0.000, 0.000, 0.000)
C (0.333, 0.667, 0.754)
Dy (0.667, 0.333, 0.857)
Dy (0.000, 0.000, 0.653)
Se (0.667, 0.333, 0.500)
Dy (0.000, 0.000, 0.347)
C (0.333, 0.667, 0.246)
Dy (0.667, 0.333, 0.143)



# Li5Cu

Li5Cu after structural relaxation (PBE, OQMD).

Results
- Energy: -26.501 eV for the cell shown

Cell: 10.778 10.201 4.870 Å, 83.29 70.05 26.67°
Fractional positions:
Li (0.335, 0.665, 0.335)
Li (0.806, 0.476, 0.524)
Cu (0.250, 0.250, 0.250)
Li (0.787, 0.787, 0.213)
Li (0.213, 0.213, 0.787)
Li (0.929, 0.929, 0.071)
Cu (0.750, 0.750, 0.750)
Li (0.665, 0.335, 0.665)
Li (0.194, 0.524, 0.476)
Li (0.071, 0.071, 0.929)
Li (0.524, 0.194, 0.806)
Li (0.476, 0.806, 0.194)



# HfPaSn

HfPaSn after structural relaxation (PBE, OQMD).

Results
- Distance to the lowest polymorph of the same formula: 463 meV per atom
- Magnetization: 2.77 μB/f.u.

Cell: 5.052 5.052 5.052 Å, 60.00 60.00 60.00°
Each line ends with the local moment (μB).
Fractional positions:
Pa (0.000, 0.000, 0.000)  1.33
Hf (0.250, 0.250, 0.250)  0.87
Sn (0.750, 0.750, 0.750)  -0.02



# UAgMo

UAgMo after structural relaxation (PBE, OQMD).

Results
- ΔE_f: 1.243 eV/atom
- Distance to the lowest polymorph of the same formula: 266 meV per atom
- Magnetization: 0.65 μB/f.u.

Cell: 4.541 4.541 4.541 Å, 60.00 60.00 60.00°
Fractional positions:
Mo (0.750, 0.750, 0.750)
Ag (0.250, 0.250, 0.250)
U (0.000, 0.000, 0.000)



# NaHgSbPd

NaHgSbPd after structural relaxation (PBE, OQMD).

Results
- Distance to the lowest polymorph of the same formula: 157 meV per atom

Cell: 4.947 4.947 4.947 Å, 60.00 60.00 60.00°
Fractional positions:
Na (0.750, 0.750, 0.750)
Sb (0.000, 0.000, 0.000)
Hg (0.250, 0.250, 0.250)
Pd (0.500, 0.500, 0.500)



# BeGaNiMo

BeGaNiMo after structural relaxation (PBE, OQMD).

Results
- Distance to the lowest polymorph of the same formula: 0 meV per atom
- Magnetization: 0.26 μB/f.u.

Cell: 4.134 4.134 4.134 Å, 60.00 60.00 60.00°
Fractional positions:
Ga (0.000, 0.000, 0.000)
Mo (0.250, 0.250, 0.250)
Ni (0.750, 0.750, 0.750)
Be (0.500, 0.500, 0.500)



# HfBeHgPd

HfBeHgPd after structural relaxation (PBE, OQMD).

Results
- Distance to the lowest polymorph of the same formula: 0 meV per atom
- Magnetization: 0.00 μB/f.u.

Cell: 4.531 4.531 4.531 Å, 60.00 60.00 60.00°
Fractional positions:
Be (0.750, 0.750, 0.750)
Hg (0.000, 0.000, 0.000)
Pd (0.250, 0.250, 0.250)
Hf (0.500, 0.500, 0.500)



# Ta2SnPd

Ta2SnPd after structural relaxation (PBE, OQMD).

Results
- Magnetization: 0.00 μB/f.u.
- Energy: -32.354 eV for the cell shown

Cell: 4.695 4.695 4.695 Å, 60.00 60.00 60.00°
Fractional positions:
Ta (0.000, 0.000, 0.000)
Ta (0.750, 0.750, 0.750)
Sn (0.500, 0.500, 0.500)
Pd (0.250, 0.250, 0.250)